# Mn2BiF8 | Alexandria via LeMat-Bulk | PBE+U | optimized geometry
data_Mn2BiF8
_chemical_formula_sum 'Mn4 Bi2 F16'
_cell_length_a 8.7635
_cell_length_b 6.8583
_cell_length_c 5.4783
_cell_angle_alpha 90.00
_cell_angle_beta 102.62
_cell_angle_gamma 90.00
_space_group_name_H-M_alt 'C 1 2/m 1'
_space_group_IT_number 12
loop_
_space_group_symop_operation_xyz
'x,y,z'
'-x,-y,-z'
'-x,y,-z'
'x,-y,z'
'x+1/2,y+1/2,z'
'-x+1/2,-y+1/2,-z'
'-x+1/2,y+1/2,-z'
'x+1/2,-y+1/2,z'
loop_
_atom_site_label
_atom_site_type_symbol
_atom_site_fract_x
_atom_site_fract_y
_atom_site_fract_z
Mn1 Mn 0.1778 0.0000 0.4549
Bi1 Bi 0.0000 0.5000 0.0000
F1 F 0.0594 0.0000 0.7235
F2 F 0.1439 0.3108 0.3156
F3 F 0.1994 0.5000 0.8055
# D(E_F) = 3.43 states/eV/cell
# crystal system = monoclinic
# electronic total energy = -5.5061 eV per atom